Entry 1:
First-principles (PBE) data for a relaxed Tb2NdYTm6 crystal, as listed in Alexandria via LeMat-Bulk.

Cell and atoms, written as POSCAR:
```
Tb2NdYTm6
1.0
-5.5770 4.2499 -6.3991
4.5246 -4.4215 -6.0182
-6.6433 -4.0532 3.9597
Tm Nd Tb Y
12 2 4 2
Direct
0.8174 0.4309 0.9780
0.4422 0.2528 0.8749
0.6826 0.0220 0.5691
0.8813 0.2907 0.5075
0.0578 0.1251 0.7472
0.3813 0.5075 0.2907
0.1187 0.7093 0.4925
0.9422 0.8749 0.2528
0.5578 0.7472 0.1251
0.1826 0.5691 0.0220
0.3174 0.9780 0.4309
0.6187 0.4925 0.7093
0.7500 0.0239 0.9761
0.2500 0.9761 0.0239
0.9548 0.6969 0.8035
0.0452 0.3031 0.1965
0.5452 0.1965 0.3031
0.4548 0.8035 0.6969
0.2500 0.4088 0.5912
0.7500 0.5912 0.4088
```

Results
raw total energy: -4.612 eV/atom
volume: 31.64 Å³/atom
crystal system: monoclinic
N(E_F): 28.754 states/eV/cell

***

Entry 2:
First-principles (PBE) data for a relaxed Ce3SeCl7 crystal, as listed in Alexandria via LeMat-Bulk.

Cell and atoms, written as POSCAR:
```
Ce3SeCl7
1.0
6.5201 0.0000 0.0000
0.0000 7.4370 -4.2938
0.0000 0.0000 8.5875
Cl Ce Se
7 3 1
Direct
0.5686 0.1816 0.3631
0.0121 0.3333 0.6667
0.5686 0.1816 0.8184
0.5686 0.6369 0.8184
0.0036 0.3567 0.1784
0.0036 0.8216 0.6433
0.0036 0.8216 0.1784
0.7812 0.5040 0.0079
0.7812 0.9921 0.4960
0.7812 0.5040 0.4960
0.5429 0.6667 0.3333
```

Results
raw total energy: -5.210 eV/atom
volume: 37.86 Å³/atom
ΔE_f (raw): -2.100 eV per atom
crystal system: trigonal
N(E_F): 17.169 states/eV/cell

***

Entry 3:
First-principles (PBE) data for a relaxed SbRuPbS2 crystal, as listed in Alexandria via LeMat-Bulk.

Cell and atoms, written as POSCAR:
```
SbRuPbS2
1.0
4.5631 0.0000 0.0000
0.0000 5.6807 0.0000
0.0000 0.0000 4.5631
S Ru Sb Pb
2 1 1 1
Direct
0.5000 0.0000 0.0000
0.0000 0.0000 0.5000
0.0000 0.0000 0.0000
0.0000 0.5000 0.0000
0.5000 0.5000 0.5000
```

Results
raw total energy: -4.893 eV/atom
volume: 23.66 Å³/atom
ΔE_f (raw): 0.179 eV per atom
crystal system: tetragonal
N(E_F): 4.891 states/eV/cell

***

Entry 4:
First-principles (PBE) data for a relaxed TbCePrZn crystal, as listed in Alexandria via LeMat-Bulk.

Cell and atoms, written as POSCAR:
```
TbCePrZn
1.0
-0.8033 4.5533 -2.6383
-4.9442 1.8631 -0.6499
-1.5693 4.3566 2.6260
Tb Pr Ce Zn
1 1 1 1
Direct
0.7500 0.7500 0.7500
0.2500 0.2500 0.2500
0.0000 0.0000 0.0000
0.5000 0.5000 0.5000
```

Results
raw total energy: -4.038 eV/atom
volume: 26.67 Å³/atom
crystal system: cubic
N(E_F): 7.769 states/eV/cell

***

Entry 5:
First-principles (PBE) data for a relaxed Rb3Cr5Te12 crystal, as listed in Alexandria via LeMat-Bulk.

Cell and atoms, written as POSCAR:
```
Rb3Cr5Te12
1.0
-1.9327 -11.9901 9.1825
-6.9498 -2.6147 -13.2921
14.8721 2.2113 -2.3975
Te Cr Rb
48 20 12
Direct
0.8057 0.4961 0.4078
0.9117 0.1021 0.9078
0.3979 0.3057 0.3096
0.3096 0.5039 0.4117
0.5883 0.5922 0.3979
0.3057 0.9078 0.9961
0.6021 0.6943 0.6904
0.4117 0.0039 0.3096
0.8096 0.9117 0.0039
0.1021 0.1904 0.1943
0.8979 0.8096 0.8057
0.8096 0.8979 0.3057
0.8057 0.3096 0.8979
0.5883 0.9961 0.6904
0.9961 0.4078 0.3057
0.3096 0.8057 0.3979
0.4078 0.4117 0.1021
0.0883 0.8979 0.0922
0.0039 0.4117 0.8096
0.6904 0.1943 0.6021
0.6904 0.4961 0.5883
0.9078 0.6021 0.9117
0.1943 0.5039 0.5922
0.4117 0.4078 0.6021
0.1904 0.0883 0.9961
0.6021 0.9078 0.4117
0.5922 0.5883 0.8979
0.0922 0.6943 0.5039
0.4078 0.9961 0.8057
0.0883 0.1904 0.4961
0.3057 0.3979 0.8096
0.6943 0.6021 0.1904
0.0922 0.3979 0.0883
0.5922 0.0039 0.1943
0.9078 0.3057 0.4961
0.6943 0.0922 0.0039
0.1943 0.6904 0.1021
0.1904 0.1021 0.6943
0.3979 0.0922 0.5883
0.9117 0.8096 0.5039
0.9961 0.5883 0.1904
0.5039 0.3096 0.9117
0.4961 0.6904 0.0883
0.4961 0.8057 0.9078
0.1021 0.9117 0.4078
0.5039 0.1943 0.0922
0.0039 0.5922 0.6943
0.8979 0.0883 0.5922
0.0000 0.0000 0.0000
0.6250 0.7500 0.8750
0.3750 0.2500 0.1250
0.1250 0.3750 0.2500
0.5000 0.5000 0.5000
0.1250 0.7500 0.3750
0.0000 0.0000 0.5000
0.5000 0.0000 0.0000
0.7500 0.1250 0.8750
0.0000 0.5000 0.0000
0.0000 0.5000 0.5000
0.8750 0.2500 0.6250
0.2500 0.3750 0.6250
0.2500 0.8750 0.1250
0.6250 0.8750 0.2500
0.7500 0.6250 0.3750
0.5000 0.0000 0.5000
0.5000 0.5000 0.0000
0.3750 0.1250 0.7500
0.8750 0.6250 0.7500
0.6250 0.3750 0.7500
0.3750 0.7500 0.6250
0.1250 0.8750 0.7500
0.7500 0.8750 0.6250
0.7500 0.3750 0.1250
0.6250 0.2500 0.3750
0.1250 0.2500 0.8750
0.2500 0.1250 0.3750
0.2500 0.6250 0.8750
0.3750 0.6250 0.2500
0.8750 0.1250 0.2500
0.8750 0.7500 0.1250
```

Results
raw total energy: -4.616 eV/atom
volume: 33.96 Å³/atom
ΔE_f (raw): -0.180 eV per atom
crystal system: cubic
N(E_F): 37.637 states/eV/cell

***

Entry 6:
First-principles (PBE) data for a relaxed K2SnP2O7 crystal, as listed in Alexandria via LeMat-Bulk.

Cell and atoms, written as POSCAR:
```
K2SnP2O7
1.0
6.9156 0.0000 0.0000
0.0000 10.0244 0.0291
0.0000 6.2404 11.8863
O P K Sn
28 8 8 4
Direct
0.0175 0.5041 0.6370
0.6310 0.8336 0.0333
0.5060 0.2462 0.1420
0.3022 0.2873 0.2826
0.4940 0.7538 0.8580
0.7567 0.9943 0.6253
0.5475 0.1862 0.7942
0.2433 0.0057 0.3747
0.1310 0.1664 0.4667
0.9525 0.1862 0.2942
0.4825 0.5041 0.1370
0.4525 0.8138 0.2058
0.2567 0.0057 0.8747
0.8086 0.6004 0.9241
0.3086 0.3996 0.5759
0.9825 0.4959 0.3630
0.0060 0.7538 0.3580
0.8022 0.7127 0.2174
0.1978 0.2873 0.7826
0.6978 0.7127 0.7174
0.3690 0.1664 0.9667
0.7433 0.9943 0.1253
0.1914 0.3996 0.0759
0.5175 0.4959 0.8630
0.8690 0.8336 0.5333
0.6914 0.6004 0.4241
0.0475 0.8138 0.7058
0.9940 0.2462 0.6420
0.3554 0.1531 0.8554
0.1315 0.3652 0.6491
0.8554 0.8469 0.6446
0.6446 0.8469 0.1446
0.6315 0.6348 0.8509
0.1446 0.1531 0.3554
0.8685 0.6348 0.3509
0.3685 0.3652 0.1491
0.8730 0.4876 0.1452
0.1270 0.5124 0.8548
0.3526 0.0129 0.6631
0.6270 0.4876 0.6452
0.8526 0.9871 0.8369
0.3730 0.5124 0.3548
0.6474 0.9871 0.3369
0.1474 0.0129 0.1631
0.8565 0.2526 0.4926
0.6435 0.2526 0.9926
0.1435 0.7474 0.5074
0.3565 0.7474 0.0074
```

Results
raw total energy: -6.455 eV/atom
volume: 17.14 Å³/atom
ΔE_f (raw): -2.145 eV per atom
crystal system: monoclinic
N(E_F): 0.000 states/eV/cell

***

Entry 7:
First-principles (PBE) data for a relaxed U2AlPd9 crystal, as listed in Alexandria via LeMat-Bulk.

Cell and atoms, written as POSCAR:
```
U2AlPd9
1.0
4.0916 0.0000 0.0000
0.0000 4.0916 0.0000
0.0000 0.0000 12.0581
Al U Pd
1 2 9
Direct
0.0000 0.0000 0.0000
0.0000 0.0000 0.3242
0.0000 0.0000 0.6758
0.5000 0.0000 0.5000
0.0000 0.5000 0.8440
0.0000 0.5000 0.5000
0.5000 0.5000 0.6729
0.5000 0.0000 0.1560
0.0000 0.5000 0.1560
0.5000 0.5000 0.0000
0.5000 0.0000 0.8440
0.5000 0.5000 0.3271
```

Results
raw total energy: -6.653 eV/atom
volume: 16.82 Å³/atom
crystal system: tetragonal
N(E_F): 16.606 states/eV/cell

***

Entry 8:
First-principles (PBE) data for a relaxed CoTe3H crystal, as listed in Alexandria via LeMat-Bulk.

Cell and atoms, written as POSCAR:
```
CoTe3H
1.0
-4.0504 -1.7883 -1.4158
0.3192 -3.3014 3.2568
-2.2585 2.7406 2.9994
H Te Co
1 3 1
Direct
0.0000 0.0000 0.0000
0.5000 0.0000 0.0000
0.0000 0.5000 0.0000
0.0000 0.0000 0.5000
0.5000 0.5000 0.5000
```

Results
raw total energy: -3.020 eV/atom
volume: 20.09 Å³/atom
crystal system: cubic
N(E_F): 6.419 states/eV/cell

***

Entry 9:
First-principles (PBE) data for a relaxed Y4Bi2Sb crystal, as listed in Alexandria via LeMat-Bulk.

Cell and atoms, written as POSCAR:
```
Y4Bi2Sb
1.0
7.6381 0.0000 -2.6649
-3.8372 6.5850 -2.7124
0.0363 0.0000 8.0896
Y Sb Bi
8 2 4
Direct
0.4790 0.1091 0.2257
0.1166 0.8909 0.3699
0.7743 0.2532 0.8834
0.9757 0.6091 0.7290
0.2710 0.2468 0.8801
0.1199 0.3909 0.3666
0.6334 0.7532 0.0243
0.6301 0.7468 0.5210
0.7500 0.5000 0.2500
0.0000 0.0000 0.0000
0.8750 0.1292 0.5042
0.3750 0.8708 0.7458
0.2542 0.6292 0.1250
0.4958 0.3708 0.6250
```

Results
raw total energy: -6.245 eV/atom
volume: 29.11 Å³/atom
relative energy among the computed polymorphs: 0.0 meV/atom
ΔE_f (raw): -0.854 eV per atom
crystal system: tetragonal
N(E_F): 16.868 states/eV/cell

***

Entry 10:
First-principles (PBE) data for a relaxed CoSbCl2 crystal, as listed in Alexandria via LeMat-Bulk.

Cell and atoms, written as POSCAR:
```
CoSbCl2
1.0
-0.7794 5.7169 2.7315
-3.3259 1.9732 -5.0790
-6.1304 2.3001 0.8963
Co Sb Cl
2 2 4
Direct
0.5000 0.5000 0.0000
0.2500 0.7500 0.5000
0.0000 0.0000 0.0000
0.7500 0.2500 0.5000
0.3750 0.4989 0.7500
0.2489 0.6250 0.2500
0.5011 0.1250 0.2500
0.8750 0.7511 0.7500
```

Results
raw total energy: -3.446 eV/atom
volume: 24.59 Å³/atom
relative energy among the computed polymorphs: 540.4 meV/atom
ΔE_f (raw): 0.284 eV per atom
crystal system: tetragonal
N(E_F): 11.811 states/eV/cell

***

Entry 11:
First-principles (PBE) data for a relaxed NiPt2Rh crystal, as listed in Alexandria via LeMat-Bulk.

Cell and atoms, written as POSCAR:
```
NiPt2Rh
1.0
4.7199 0.0189 -0.0320
1.5672 4.4522 0.0320
-3.1259 -2.2604 2.7200
Ni Rh Pt
1 1 2
Direct
0.7499 0.2499 0.5000
0.4999 0.4999 0.0000
0.0001 0.0001 0.0000
0.2500 0.7500 0.5000
```

Results
raw total energy: -6.346 eV/atom
volume: 14.27 Å³/atom
crystal system: tetragonal
N(E_F): 7.066 states/eV/cell

***

Entry 12:
First-principles (PBE) data for a relaxed Zr2BeBr crystal, as listed in Alexandria via LeMat-Bulk.

Cell and atoms, written as POSCAR:
```
Zr2BeBr
1.0
5.3051 0.0045 0.0130
4.3363 3.0562 0.0130
-0.0113 -0.0036 4.5546
Be Zr Br
1 2 1
Direct
0.5259 0.5259 0.3752
0.2687 0.2687 0.3747
0.9887 0.9887 0.8755
0.7167 0.7167 0.8746
```

Results
raw total energy: -5.660 eV/atom
volume: 18.44 Å³/atom
relative energy among the computed polymorphs: 232.7 meV/atom
ΔE_f (raw): -0.036 eV per atom
crystal system: orthorhombic
N(E_F): 3.144 states/eV/cell